No. 1
Dy2YCdO | PBE | relaxed

Structure (extended XYZ):
```
5
Lattice="4.786 0.000 0.000 0.000 4.786 0.000 0.000 0.000 4.808" Properties=species:S:1:pos:R:3 pbc="T T T"
Dy 0.000 2.393 0.000
Dy 2.393 0.000 0.000
Y 0.000 0.000 2.404
Cd 2.393 2.393 2.404
O 0.000 0.000 0.000
```

Values from the calculation:
**Calculated volume**: 110.1 Å³ per cell
**Raw total energy**: -28.2 eV/cell
**Density**: 8.18 g/cm3

No. 2
Dy6CdOs2 | PBE | relaxed

Structure (extended XYZ):
```
18
Lattice="-4.719 4.737 5.248 4.719 -4.737 5.248 4.719 4.737 -5.248" Properties=species:S:1:pos:R:3 pbc="T T T"
Dy 4.719 2.795 -2.696
Dy 2.655 1.747 0.000
Dy 6.783 1.747 0.000
Dy 1.747 4.737 -1.782
Dy 2.972 0.000 3.466
Dy 0.000 1.942 2.552
Dy 4.719 2.795 2.696
Dy 1.747 4.737 1.782
Dy 2.972 0.000 7.030
Dy -2.064 2.990 5.248
Dy 2.064 2.990 5.248
Dy 0.000 1.942 7.943
Cd 0.000 0.000 0.000
Cd 0.000 0.000 5.248
Os 4.719 0.000 1.267
Os 0.000 3.072 0.000
Os 0.000 6.403 0.000
Os 0.000 4.737 3.981
```

Values from the calculation:
**Energy relative to the elements**: -0.26 eV/atom
**Calculated volume**: 469.3 Å³ per cell
**Density**: 10.39 g/cm3

No. 3
Dy6Cd3Os | PBE | relaxed

Structure (extended XYZ):
```
20
Lattice="9.112 0.000 0.000 0.000 5.256 0.000 -3.673 0.000 10.849" Properties=species:S:1:pos:R:3 pbc="T T T"
Dy -1.223 1.314 4.498
Dy 1.128 3.942 1.777
Dy 2.556 1.314 0.033
Dy 0.134 3.942 9.037
Dy 2.171 1.314 3.755
Dy 1.166 1.314 7.038
Dy 4.273 3.942 3.811
Dy 3.268 3.942 7.094
Dy 5.305 1.314 1.812
Dy 2.883 3.942 10.816
Dy 4.311 1.314 9.072
Dy 6.661 3.942 6.351
Cd -3.113 3.942 9.421
Cd -1.881 1.314 7.819
Cd 0.734 3.942 5.119
Cd 4.705 1.314 5.730
Cd 7.319 3.942 3.030
Cd 8.552 1.314 1.428
Os 3.864 3.942 1.033
Os 1.574 1.314 9.816
```

Values from the calculation:
**Energy relative to the elements**: -0.24 eV/atom
**Calculated volume**: 519.6 Å³ per cell
**Density**: 9.60 g/cm3

No. 4
Dy4Cd3Os | PBE | relaxed

Structure (extended XYZ):
```
8
Lattice="3.479 0.000 0.000 0.000 3.479 0.000 0.000 0.000 16.233" Properties=species:S:1:pos:R:3 pbc="T T T"
Dy 0.000 0.000 1.640
Dy 0.000 0.000 5.968
Dy 0.000 0.000 10.266
Dy 0.000 0.000 14.594
Cd 1.740 1.740 3.896
Cd 1.740 1.740 8.117
Cd 1.740 1.740 12.337
Os 1.740 1.740 0.000
```

Values from the calculation:
**Energy relative to the elements**: -0.31 eV/atom
**Calculated volume**: 196.5 Å³ per cell
**Density**: 9.95 g/cm3

No. 5
Dy2CdOs | PBE | relaxed

Structure (extended XYZ):
```
4
Lattice="1.988 1.148 9.702 -1.988 1.148 9.702 0.000 -2.295 9.702" Properties=species:S:1:pos:R:3 pbc="T T T"
Dy 0.000 0.000 3.370
Dy 0.000 0.000 25.737
Cd 0.000 0.000 0.000
Os 0.000 0.000 14.554
```

Values from the calculation:
**Energy relative to the elements**: 0.16 eV/atom
**Calculated volume**: 132.8 Å³ per cell
**Density**: 7.85 g/cm3

No. 6
Dy4CdOs | PBE | relaxed

Structure (extended XYZ):
```
12
Lattice="4.367 -6.438 0.000 4.367 6.438 0.000 -1.815 0.000 5.899" Properties=species:S:1:pos:R:3 pbc="T T T"
Dy 1.715 4.247 5.623
Dy 1.325 1.006 3.584
Dy 4.296 4.247 3.225
Dy 2.232 -1.006 0.635
Dy 4.686 1.006 5.264
Dy 2.622 -4.247 2.674
Dy 5.594 -1.006 2.314
Dy 5.204 -4.247 0.275
Cd 3.913 1.606 1.475
Cd 3.006 -1.606 4.424
Os 3.006 6.431 4.424
Os 3.913 -6.431 1.475
```

Values from the calculation:
**Energy relative to the elements**: -0.27 eV/atom
**Calculated volume**: 331.7 Å³ per cell
**Density**: 9.54 g/cm3